[1]
The following is a DFT calculation (PBE-GGA) of crystalline Sr4Tl2Zn at its relaxed geometry.

```
data_Sr4Tl2Zn
_space_group_name_H-M_alt 'R -3 m'
_space_group_IT_number 166
_space_group_name_Hall '-R 3 2"'
_cell_length_a 5.6887
_cell_length_b 5.6887
_cell_length_c 28.1128
_cell_angle_alpha 90.00
_cell_angle_beta 90.00
_cell_angle_gamma 120.00
loop_
_atom_site_label
_atom_site_fract_x
_atom_site_fract_y
_atom_site_fract_z
Sr1 0.0000 0.0000 0.1232
Sr2 0.0000 0.0000 0.3731
Tl1 0.0000 0.0000 0.2502
Zn1 0.0000 0.0000 0.0000
```

Properties
V	788	Å³/cell
E_tot	-2.0880	eV/atom
excess energy over the best structure of this formula in the dataset	0.0	kJ/mol of formula units
formation enthalpy at 0 K	-269	meV/atom


[2]
The following is a DFT calculation (PBE-GGA) of crystalline Rb3SrI at its relaxed geometry.

```
data_Rb3SrI
_space_group_name_H-M_alt 'P m -3 m'
_space_group_IT_number 221
_space_group_name_Hall '-P 4 2 3'
_cell_length_a 7.211
_cell_length_b 7.211
_cell_length_c 7.211
_cell_angle_alpha 90.00
_cell_angle_beta 90.00
_cell_angle_gamma 90.00
loop_
_atom_site_label
_atom_site_fract_x
_atom_site_fract_y
_atom_site_fract_z
Rb1 0.000 0.000 0.500
Sr1 0.500 0.500 0.500
I1 0.000 0.000 0.000
```

Properties
V	375	Å³/cell
raw formation energy	-8.97	kcal/mol of atoms
E_tot	-1.6157	eV/atom
excess energy over the best structure of this formula in the dataset	0.0	kJ/mol of formula units


[3]
The following is a DFT calculation (PBE-GGA) of crystalline AcLa2Pm6Er at its relaxed geometry.

```
data_AcLa2Pm6Er
_space_group_name_H-M_alt 'C 1 2/c 1'
_space_group_IT_number 15
_cell_length_a 9.339
_cell_length_b 15.590
_cell_length_c 9.937
_cell_angle_alpha 90.00
_cell_angle_beta 96.85
_cell_angle_gamma 90.00
loop_
_space_group_symop_operation_xyz
'x,y,z'
'-x,-y,-z'
'-x,y,-z+1/2'
'x,-y,z+1/2'
'x+1/2,y+1/2,z'
'-x+1/2,-y+1/2,-z'
'-x+1/2,y+1/2,-z+1/2'
'x+1/2,-y+1/2,z+1/2'
loop_
_atom_site_label
_atom_site_fract_x
_atom_site_fract_y
_atom_site_fract_z
Ac1 0.000 0.019 0.250
La1 0.244 0.444 0.456
Pm1 0.064 0.193 0.944
Pm2 0.103 0.395 0.118
Pm3 0.207 0.224 0.310
Er1 0.000 0.408 0.750
```

Properties
V	1436	Å³/cell
E_tot	-4.5853	eV/atom
formation enthalpy at 0 K	118	meV/atom


[4]
The following is a DFT calculation (PBE-GGA) of crystalline CaTcW2 at its relaxed geometry.

```
data_CaTcW2
_space_group_name_H-M_alt 'C 1 m 1'
_space_group_IT_number 8
_cell_length_a 10.011
_cell_length_b 3.089
_cell_length_c 5.332
_cell_angle_alpha 90.00
_cell_angle_beta 107.81
_cell_angle_gamma 90.00
loop_
_space_group_symop_operation_xyz
'x,y,z'
'x,-y,z'
'x+1/2,y+1/2,z'
'x+1/2,-y+1/2,z'
loop_
_atom_site_label
_atom_site_fract_x
_atom_site_fract_y
_atom_site_fract_z
Ca1 0.000 0.000 0.000
Tc1 0.224 0.000 0.677
W1 0.010 0.500 0.508
W2 0.286 0.500 0.341
```

Properties
V	157	Å³/cell
E_tot	-8.9073	eV/atom
excess energy over the best structure of this formula in the dataset	64.4	kJ/mol of formula units
formation enthalpy at 0 K	661	meV/atom


[5]
The following is a DFT calculation (PBE-GGA) of crystalline SmZn3Au4 at its relaxed geometry.

```
data_SmZn3Au4
_space_group_name_H-M_alt 'R -3 m'
_space_group_IT_number 166
_space_group_name_Hall '-R 3 2"'
_cell_length_a 4.4878
_cell_length_b 4.4878
_cell_length_c 26.0653
_cell_angle_alpha 90.00
_cell_angle_beta 90.00
_cell_angle_gamma 120.00
loop_
_atom_site_label
_atom_site_fract_x
_atom_site_fract_y
_atom_site_fract_z
Sm1 0.0000 0.0000 0.0000
Zn1 0.0000 0.0000 0.2444
Zn2 0.0000 0.0000 0.5000
Au1 0.0000 0.0000 0.1305
Au2 0.0000 0.0000 0.3969
```

Properties
V	455	Å³/cell
E_tot	-3.1287	eV/atom
formation enthalpy at 0 K	-422	meV/atom


[6]
The following is a DFT calculation (PBE-GGA) of crystalline ZrCuRu2 at its relaxed geometry.

```
data_ZrCuRu2
_space_group_name_H-M_alt 'C 1 m 1'
_space_group_IT_number 8
_cell_length_a 9.941
_cell_length_b 3.076
_cell_length_c 4.488
_cell_angle_alpha 90.00
_cell_angle_beta 115.88
_cell_angle_gamma 90.00
loop_
_space_group_symop_operation_xyz
'x,y,z'
'x,-y,z'
'x+1/2,y+1/2,z'
'x+1/2,-y+1/2,z'
loop_
_atom_site_label
_atom_site_fract_x
_atom_site_fract_y
_atom_site_fract_z
Zr1 0.000 0.000 0.000
Cu1 0.241 0.000 0.634
Ru1 0.000 0.500 0.510
Ru2 0.260 0.500 0.153
```

Properties
V	123	Å³/cell
E_tot	-7.8525	eV/atom
formation enthalpy at 0 K	-54	meV/atom


[7]
The following is a DFT calculation (PBE-GGA) of crystalline SbH2I4 at its relaxed geometry.

```
data_SbH2I4
_space_group_name_H-M_alt 'P 1 2/m 1'
_space_group_IT_number 10
_cell_length_a 8.037
_cell_length_b 4.107
_cell_length_c 8.053
_cell_angle_alpha 90.00
_cell_angle_beta 109.44
_cell_angle_gamma 90.00
loop_
_space_group_symop_operation_xyz
'x,y,z'
'-x,-y,-z'
'-x,y,-z'
'x,-y,z'
loop_
_atom_site_label
_atom_site_fract_x
_atom_site_fract_y
_atom_site_fract_z
Sb1 0.000 0.000 0.000
H1 0.228 0.500 0.773
I1 0.235 0.000 0.765
I2 0.240 0.500 0.240
```

Properties
V	251	Å³/cell
E_tot	-2.3664	eV/atom


[8]
The following is a DFT calculation (PBE-GGA) of crystalline Tm2Ni6C at its relaxed geometry.

```
data_Tm2Ni6C
_space_group_name_H-M_alt 'P -3 m 1'
_space_group_IT_number 164
_space_group_name_Hall '-P 3 2"'
_cell_length_a 5.4494
_cell_length_b 5.4494
_cell_length_c 4.6019
_cell_angle_alpha 90.00
_cell_angle_beta 90.00
_cell_angle_gamma 120.00
loop_
_atom_site_label
_atom_site_fract_x
_atom_site_fract_y
_atom_site_fract_z
Tm1 0.3333 0.6667 0.2339
Ni1 0.1581 0.3161 0.7383
C1 0.0000 0.0000 0.0000
```

Properties
V	118	Å³/cell
E_tot	-6.1679	eV/atom
formation enthalpy at 0 K	-295	meV/atom